(1)
TcBF2: optimized geometry, PBE-GGA.

a = 5.3387 Å, b = 5.3387 Å, c = 5.3387 Å
α = 119.98°, β = 119.98°, γ = 90.03°
Each line ends with the local moment (μB).
Atoms (fractional coordinates):
1 F 0.3741 0.6250 0.2491  0.02
2 F 0.3750 0.6241 0.7491  0.02
3 F 0.8750 0.6259 0.2509  0.02
4 F 0.3759 0.1250 0.7509  0.02
5 Tc 0.0000 0.0000 0.0000  2.65
6 Tc 0.7500 0.2500 0.5000  2.65
7 B 0.5000 0.5000 0.0000  -0.05
8 B 0.2500 0.7500 0.5000  -0.05

Results
Its energy is -36.65 eV/cell. As for the excess energy over the best structure of this formula in the dataset: 0.965 eV/atom.

---

(2)
As2HBr: optimized geometry, PBE-GGA.

a = 5.6383 Å, b = 5.6383 Å, c = 6.3139 Å
α = 63.48°, β = 63.48°, γ = 90.00°
Atoms (fractional coordinates):
1 As 0.3750 0.5330 0.7500
2 As 0.4670 0.1250 0.2500
3 As 0.8750 0.7170 0.7500
4 As 0.2830 0.6250 0.2500
5 Br 0.7500 0.2500 0.5000
6 Br 0.0000 0.0000 0.0000
7 H 0.5000 0.5000 0.0000
8 H 0.2500 0.7500 0.5000

Results
Its energy is -23.75 eV/cell. As for the excess energy over the best structure of this formula in the dataset: 0.000 eV/atom.